Record 1
This record from OQMD via LeMat-Bulk describes a geometry-optimized Ba3SnOs4O15 structure. The functional is PBE.

Summary:
**Final energy**: -7.14 eV/atom
**Total magnetization**: 0.014 μB/cell
**Space-group type**: No. 127

extended XYZ file:
```
46
Lattice="12.540 0.000 0.000 0.000 12.540 0.000 0.000 0.000 3.877" Properties=species:S:1:pos:R:3 pbc="T T T"
Ba 0.000 0.000 0.000
Ba 2.136 4.134 0.000
Ba 4.134 10.404 0.000
Ba 6.270 6.270 0.000
Ba 8.406 2.136 0.000
Ba 10.404 8.406 0.000
Sn 0.000 6.270 1.938
Sn 6.270 0.000 1.938
Os 0.919 9.857 1.938
Os 2.683 0.919 1.938
Os 3.587 7.189 1.938
Os 5.352 3.587 1.938
Os 7.189 8.953 1.938
Os 8.953 5.352 1.938
Os 9.857 11.622 1.938
Os 11.622 2.683 1.938
O 0.000 6.270 0.000
O 0.231 4.220 1.938
O 0.836 1.775 1.938
O 0.961 9.900 0.000
O 1.775 11.705 1.938
O 2.050 6.039 1.938
O 2.589 8.859 1.938
O 2.641 0.961 0.000
O 3.629 7.232 0.000
O 3.681 2.589 1.938
O 4.220 12.309 1.938
O 4.496 5.435 1.938
O 5.309 3.629 0.000
O 5.435 8.045 1.938
O 6.039 10.490 1.938
O 6.270 0.000 0.000
O 6.502 2.050 1.938
O 7.106 4.496 1.938
O 7.232 8.911 0.000
O 8.045 7.106 1.938
O 8.320 0.231 1.938
O 8.859 9.951 1.938
O 8.911 5.309 0.000
O 9.900 11.579 0.000
O 9.951 3.681 1.938
O 10.490 6.502 1.938
O 10.766 0.836 1.938
O 11.579 2.641 0.000
O 11.705 10.766 1.938
O 12.309 8.320 1.938
```



Record 2
This record from OQMD via LeMat-Bulk describes a geometry-optimized ZnFeReHg structure. The functional is PBE.

Summary:
**Calculated formation energy**: 0.726 eV/atom
**Total magnetization**: 2.845 μB/cell
**Space-group type**: No. 216
**ΔE to the lowest computed polymorph**: 0.0 meV/atom

extended XYZ file:
```
4
Lattice="0.000 3.142 3.142 3.142 0.000 3.142 3.142 3.142 0.000" Properties=species:S:1:pos:R:3 pbc="T T T"
Zn 0.000 0.000 0.000
Fe 1.571 1.571 1.571
Re 3.142 3.142 3.142
Hg 4.713 4.713 4.713
```



Record 3
This record from OQMD via LeMat-Bulk describes a geometry-optimized Ta5Co7 structure. The functional is PBE.

Summary:
**Calculated formation energy**: 0.242 eV/atom
**Total magnetization**: 14.994 μB/cell
**Space-group type**: No. 194
**ΔE to the lowest computed polymorph**: 0.0 meV/atom

extended XYZ file:
```
24
Lattice="4.996 0.000 0.000 -2.498 4.327 0.000 0.000 0.000 15.785" Properties=species:S:1:pos:R:3 pbc="T T T"
Ta -1.249 2.163 0.000
Ta -1.249 2.163 7.892
Ta 0.000 2.885 2.595
Ta 0.000 2.885 5.298
Ta 2.498 0.000 0.000
Ta 2.498 0.000 7.892
Ta 1.249 2.163 0.000
Ta 1.249 2.163 7.892
Ta 2.498 1.442 10.487
Ta 2.498 1.442 13.190
Co 0.000 0.000 1.503
Co 0.000 0.000 6.390
Co 0.000 0.000 9.395
Co 0.000 0.000 14.282
Co 0.000 1.344 11.839
Co -1.334 3.655 11.839
Co 1.164 0.672 3.946
Co 0.000 2.885 10.075
Co 0.000 2.885 13.602
Co 2.498 1.442 2.182
Co 2.498 1.442 5.710
Co 1.334 3.655 11.839
Co 3.832 0.672 3.946
Co 2.498 2.983 3.946
```



Record 4
This record from OQMD via LeMat-Bulk describes a geometry-optimized Nb2CuAg structure. The functional is PBE.

Summary:
**Calculated formation energy**: 0.509 eV/atom
**Total magnetization**: 1.181 μB/cell
**Space-group type**: No. 216

extended XYZ file:
```
4
Lattice="0.000 3.232 3.232 3.232 0.000 3.232 3.232 3.232 0.000" Properties=species:S:1:pos:R:3 pbc="T T T"
Nb 0.000 0.000 0.000
Nb 1.616 1.616 1.616
Cu 3.232 3.232 3.232
Ag 4.848 4.848 4.848
```



Record 5
This record from OQMD via LeMat-Bulk describes a geometry-optimized DyEr2Fe3Co6 structure. The functional is PBE.

Summary:
**Calculated formation energy**: -0.201 eV/atom
**Total magnetization**: 13.388 μB/cell
**Space-group type**: No. 166

extended XYZ file:
```
12
Lattice="2.522 1.456 7.860 -2.522 1.456 7.860 0.000 -2.912 7.860" Properties=species:S:1:pos:R:3 pbc="T T T"
Dy 0.000 0.000 0.000
Er 0.000 0.000 3.319
Er 0.000 0.000 20.260
Fe 0.000 0.000 7.870
Fe 0.000 0.000 11.790
Fe 0.000 0.000 15.709
Co -1.270 -0.733 9.802
Co 0.000 -1.466 13.777
Co -1.270 0.733 13.777
Co 1.270 -0.733 9.802
Co 0.000 1.466 9.802
Co 1.270 0.733 13.777
```



Record 6
This record from OQMD via LeMat-Bulk describes a geometry-optimized TbGeAuSeS2 structure. The functional is PBE.

Summary:
**Final energy**: -4.89 eV/atom
**Total magnetization**: 0.022 μB/cell
**Space-group type**: No. 63

extended XYZ file:
```
12
Lattice="2.022 -6.994 0.000 2.022 6.994 0.000 0.000 0.000 10.365" Properties=species:S:1:pos:R:3 pbc="T T T"
Tb 0.000 0.000 0.000
Tb 0.000 0.000 5.182
Ge 2.022 2.794 7.773
Ge 2.022 -2.794 2.591
Au 2.022 2.142 2.591
Au 2.022 -2.142 7.773
Se 2.022 5.892 2.591
Se 2.022 -5.892 7.773
S 2.022 1.873 0.246
S 2.022 1.873 4.936
S 2.022 -1.873 5.428
S 2.022 -1.873 10.119
```



Record 7
This record from OQMD via LeMat-Bulk describes a geometry-optimized YHoGe4Os2 structure. The functional is PBE.

Summary:
**Final energy**: -6.95 eV/atom
**Total magnetization**: 0.005 μB/cell
**Space-group type**: No. 6

extended XYZ file:
```
8
Lattice="4.442 0.000 0.000 0.000 4.449 0.000 -2.095 0.000 8.009" Properties=species:S:1:pos:R:3 pbc="T T T"
Y 0.000 0.000 0.000
Ho 2.147 2.224 4.659
Ge -0.363 2.224 2.422
Ge 0.033 0.000 5.652
Ge 0.029 2.224 7.027
Ge 2.541 0.000 2.263
Os 0.378 0.000 3.275
Os 1.803 2.224 1.404
```



Record 8
This record from OQMD via LeMat-Bulk describes a geometry-optimized TlCd2 structure. The functional is PBE.

Summary:
**Final energy**: -1.37 eV/atom
**Space-group type**: No. 227

extended XYZ file:
```
6
Lattice="0.000 4.229 4.229 4.229 0.000 4.229 4.229 4.229 0.000" Properties=species:S:1:pos:R:3 pbc="T T T"
Tl 1.057 1.057 1.057
Tl 7.401 7.401 7.401
Cd 4.229 2.115 2.115
Cd 2.115 4.229 2.115
Cd 2.115 2.115 4.229
Cd 4.229 4.229 4.229
```



Record 9
This record from OQMD via LeMat-Bulk describes a geometry-optimized NaAg3MoS4 structure. The functional is PBE.

Summary:
**Final energy**: -4.44 eV/atom
**Total magnetization**: 1.998 μB/cell
**Space-group type**: No. 215

extended XYZ file:
```
9
Lattice="6.110 0.000 0.000 0.000 6.110 0.000 0.000 0.000 6.110" Properties=species:S:1:pos:R:3 pbc="T T T"
Na 0.000 0.000 0.000
Ag 0.000 3.055 3.055
Ag 3.055 0.000 3.055
Ag 3.055 3.055 0.000
Mo 3.055 3.055 3.055
S 1.692 1.692 1.692
S 1.692 4.417 4.417
S 4.417 1.692 4.417
S 4.417 4.417 1.692
```



Record 10
This record from OQMD via LeMat-Bulk describes a geometry-optimized Y2CdIn structure. The functional is PBE.

Summary:
**Final energy**: -4.43 eV/atom
**Total magnetization**: 0.003 μB/cell
**Space-group type**: No. 123

extended XYZ file:
```
4
Lattice="5.692 0.000 0.000 0.000 5.692 0.000 0.000 0.000 4.015" Properties=species:S:1:pos:R:3 pbc="T T T"
Y 0.000 2.846 0.000
Y 2.846 0.000 0.000
Cd 0.000 0.000 2.007
In 2.846 2.846 2.007
```



Record 11
This record from OQMD via LeMat-Bulk describes a geometry-optimized NbGaCoCu structure. The functional is PBE.

Summary:
**Total magnetization**: 0.046 μB/cell
**Space-group type**: No. 216
**ΔE to the lowest computed polymorph**: 106.4 meV/atom

extended XYZ file:
```
4
Lattice="0.000 3.010 3.010 3.010 0.000 3.010 3.010 3.010 0.000" Properties=species:S:1:pos:R:3 pbc="T T T"
Nb 0.000 0.000 0.000
Ga 1.505 1.505 1.505
Co 4.516 4.516 4.516
Cu 3.010 3.010 3.010
```



Record 12
This record from OQMD via LeMat-Bulk describes a geometry-optimized Dy2Y3ScSb2Os structure. The functional is PBE.

Summary:
**Final energy**: -6.75 eV/atom
**Total magnetization**: 0.031 μB/cell
**Space-group type**: No. 38

extended XYZ file:
```
9
Lattice="4.184 0.000 0.000 0.000 6.979 4.068 0.000 -6.979 4.068" Properties=species:S:1:pos:R:3 pbc="T T T"
Dy 0.000 -5.370 4.068
Dy 0.000 5.370 4.068
Y 2.092 -2.734 2.547
Y 2.092 2.734 2.547
Y 2.092 0.000 5.747
Sc 0.000 0.000 2.893
Sb 0.000 -2.305 4.985
Sb 0.000 2.305 4.985
Os 2.092 0.000 1.193
```